Record 1
This record from Alexandria describes Tl4CdI6 at its PBEsol-relaxed geometry. The functional is meta-GGA SCAN.

abc: 8.9545 8.9545 9.5706
angles: 90.00 90.00 90.00
With the nearest neighbours (Å) after each atom.
Fractional positions:
Tl (0.1471, 0.3529, 0.2500)  6 I 3.40-3.53, 1 Tl 3.73
Tl (0.1471, 0.3529, 0.7500)  6 I 3.40-3.53, 1 Tl 3.73
Tl (0.3529, 0.8529, 0.2500)  6 I 3.40-3.53, 1 Tl 3.73
Tl (0.3529, 0.8529, 0.7500)  6 I 3.40-3.53, 1 Tl 3.73
Tl (0.6471, 0.1471, 0.2500)  6 I 3.40-3.53, 1 Tl 3.73
Tl (0.6471, 0.1471, 0.7500)  6 I 3.40-3.53, 1 Tl 3.73
Tl (0.8529, 0.6471, 0.2500)  6 I 3.40-3.53, 1 Tl 3.73
Tl (0.8529, 0.6471, 0.7500)  6 I 3.40-3.53, 1 Tl 3.73
Cd (0.0000, 0.0000, 0.0000)  6 I 2.84-3.08
Cd (0.5000, 0.5000, 0.5000)  6 I 2.84-3.08
I (0.0000, 0.0000, 0.2963)  1 Cd 2.84
I (0.0000, 0.0000, 0.7037)  1 Cd 2.84
I (0.1404, 0.6856, 0.0000)  1 Cd 3.08, 2 Tl 3.40
I (0.1856, 0.6404, 0.5000)  1 Cd 3.08, 2 Tl 3.40
I (0.3144, 0.1404, 0.0000)  1 Cd 3.08, 2 Tl 3.40
I (0.3596, 0.1856, 0.5000)  1 Cd 3.08, 2 Tl 3.40
I (0.5000, 0.5000, 0.2037)  1 Cd 2.84
I (0.5000, 0.5000, 0.7963)  1 Cd 2.84
I (0.6404, 0.8144, 0.5000)  1 Cd 3.08, 2 Tl 3.40
I (0.6856, 0.8596, 0.0000)  1 Cd 3.08, 2 Tl 3.40
I (0.8144, 0.3596, 0.5000)  1 Cd 3.08, 2 Tl 3.40
I (0.8596, 0.3144, 0.0000)  1 Cd 3.08, 2 Tl 3.40

As for the mass density: 7.3 g/cm3. As for the uncorrected formation energy: -655.3 meV per atom. Its total magnetization is 0.00 μB/f.u. The calculated total energy comes out at -1095.01 eV per cell.

---

Record 2
This record from Alexandria describes Tl2CdI at its PBEsol-relaxed geometry. The functional is meta-GGA SCAN.

abc: 7.8974 7.8974 7.8974
angles: 90.00 90.00 90.00
With the nearest neighbours (Å) after each atom.
Fractional positions:
Tl (0.2500, 0.2500, 0.2500)  4 Cd 3.42, 4 I 3.42
Tl (0.2500, 0.2500, 0.7500)  4 Cd 3.42, 4 I 3.42
Tl (0.2500, 0.7500, 0.2500)  4 Cd 3.42, 4 I 3.42
Tl (0.2500, 0.7500, 0.7500)  4 Cd 3.42, 4 I 3.42
Tl (0.7500, 0.2500, 0.2500)  4 Cd 3.42, 4 I 3.42
Tl (0.7500, 0.2500, 0.7500)  4 Cd 3.42, 4 I 3.42
Tl (0.7500, 0.7500, 0.2500)  4 Cd 3.42, 4 I 3.42
Tl (0.7500, 0.7500, 0.7500)  4 Cd 3.42, 4 I 3.42
Cd (0.0000, 0.0000, 0.0000)  8 Tl 3.42
Cd (0.0000, 0.5000, 0.5000)  8 Tl 3.42
Cd (0.5000, 0.0000, 0.5000)  8 Tl 3.42
Cd (0.5000, 0.5000, 0.0000)  8 Tl 3.42
I (0.0000, 0.0000, 0.5000)  8 Tl 3.42
I (0.0000, 0.5000, 0.0000)  8 Tl 3.42
I (0.5000, 0.0000, 0.0000)  8 Tl 3.42
I (0.5000, 0.5000, 0.5000)  8 Tl 3.42

As for the mass density: 8.7 g/cm3. As for the uncorrected formation energy: -19.8 meV per atom. Its total magnetization is 0.00 μB/f.u. The calculated total energy comes out at -847.81 eV per cell.